Computed, not measured: crystalline Hf3AsH at its relaxed geometry at the PBE level of DFT.

Lattice parameters (Å, degrees): 4.320 4.320 4.320 90.00 90.00 90.00
Space group Pm-3m (No. 221)
Unique sites:
Hf  0.000  0.000  0.500 (multiplicity 3)
As  0.500  0.500  0.500 (multiplicity 1)
H  0.000  0.000  0.000 (multiplicity 1)

Calculated volume, Å³/atom: 16.1
Polymorph energy (0 for the lowest one), eV per atom: 0.219
Crystal system: cubic

Computed, not measured: crystalline Hf2As2H at its relaxed geometry at the PBE level of DFT.

Lattice parameters (Å, degrees): 4.670 4.670 10.332 90.00 90.00 90.00
Space group I4/mmm (No. 139)
Unique sites:
Hf  0.000  0.500  0.250 (multiplicity 4)
As  0.000  0.000  0.131 (multiplicity 4)
H  0.000  0.000  0.500 (multiplicity 2)

Calculated volume, Å³/atom: 22.5
Polymorph energy (0 for the lowest one), eV per atom: 0.732
Crystal system: tetragonal

Computed, not measured: crystalline Hf6As3H at its relaxed geometry at the PBE level of DFT.

Lattice parameters (Å, degrees): 10.548 12.534 5.784 90.00 90.00 90.00
Space group Cmc2_1 (No. 36)
Unique sites:
Hf  0.000  0.065  0.000 (multiplicity 4)
Hf  0.000  0.234  0.570 (multiplicity 4)
Hf  0.167  0.444  0.558 (multiplicity 8)
Hf  0.179  0.270  0.078 (multiplicity 8)
As  0.000  0.404  0.228 (multiplicity 4)
As  0.161  0.091  0.377 (multiplicity 8)
H  0.000  0.221  0.930 (multiplicity 4)

Calculated volume, Å³/atom: 19.1
Crystal system: orthorhombic
VASP energy, eV per atom: -8.26

Computed, not measured: crystalline Hf3AsH2 at its relaxed geometry at the PBE level of DFT.

Lattice parameters (Å, degrees): 5.695 3.478 9.145 90.00 92.31 90.00
Space group P2_1/m (No. 11)
Unique sites:
Hf  0.042  0.250  0.159 (multiplicity 2)
Hf  0.231  0.250  0.560 (multiplicity 2)
Hf  0.407  0.250  0.878 (multiplicity 2)
As  0.312  0.750  0.341 (multiplicity 2)
H  0.057  0.750  0.598 (multiplicity 2)
H  0.397  0.250  0.099 (multiplicity 2)

Calculated volume, Å³/atom: 15.1
Crystal system: monoclinic
VASP energy, eV per atom: -7.30

Computed, not measured: crystalline Hf6As2H at its relaxed geometry at the PBE level of DFT.

Lattice parameters (Å, degrees): 5.570 6.772 10.240 90.00 122.68 90.00
Space group P2_1/c (No. 14)
Unique sites:
Hf  0.091  0.193  0.462 (multiplicity 4)
Hf  0.331  0.694  0.460 (multiplicity 4)
Hf  0.382  0.028  0.254 (multiplicity 4)
As  0.151  0.105  0.751 (multiplicity 4)
H  0.000  0.000  0.000 (multiplicity 2)

Calculated volume, Å³/atom: 18.1
Crystal system: monoclinic
VASP energy, eV per atom: -8.64

Computed, not measured: crystalline Hf2As2H at its relaxed geometry at the PBE level of DFT.

Lattice parameters (Å, degrees): 3.604 13.029 7.289 90.00 90.00 90.00
Space group Cmc2_1 (No. 36)
Unique sites:
Hf  0.000  0.068  0.000 (multiplicity 4)
Hf  0.000  0.354  0.892 (multiplicity 4)
As  0.000  0.276  0.552 (multiplicity 4)
As  0.000  0.455  0.216 (multiplicity 4)
H  0.000  0.080  0.422 (multiplicity 4)

Calculated volume, Å³/atom: 17.1
Polymorph energy (0 for the lowest one), eV per atom: 0.000
Crystal system: orthorhombic